[1]
An optimized crystal structure of K3Ag2Sn7, computed with PBE-GGA. Values from VASP.

Cell and atoms, written as Quantum ESPRESSO input:
```
&SYSTEM
  ibrav = 0, nat = 12, ntyp = 3
/
ATOMIC_SPECIES
Sn 118.71 Sn.upf
K 39.10 K.upf
Ag 107.87 Ag.upf
ATOMIC_POSITIONS crystal
Sn 0.0000 0.6360 0.2395
Sn 0.5000 0.2598 0.1990
Sn 0.5000 0.7402 0.8010
K 0.5000 0.3137 0.5631
K 0.5000 0.5000 0.0000
Sn 0.0000 0.1355 0.3420
Ag 0.0000 0.0971 0.8518
K 0.5000 0.6863 0.4369
Sn 0.0000 0.8645 0.6580
Sn 0.0000 0.3640 0.7605
Sn 0.0000 0.0000 0.0000
Ag 0.0000 0.9029 0.1482
CELL_PARAMETERS angstrom
-0.0502 -0.4227 3.9105
0.6790 -6.6933 -0.7148
13.7588 7.8206 1.0220
```

Properties
Space-group type: P2/m, No. 10
Formation enthalpy at 0 K, eV per atom: 0.00
DFT total energy, eV per atom: -3.085
Total magnetic moment, μB per formula unit: 0.00

---

[2]
An optimized crystal structure of KBeTeI2, computed with PBE-GGA. Values from VASP.

Cell and atoms, written as Quantum ESPRESSO input:
```
&SYSTEM
  ibrav = 0, nat = 5, ntyp = 4
/
ATOMIC_SPECIES
I 126.90 I.upf
Te 127.60 Te.upf
K 39.10 K.upf
Be 9.01 Be.upf
ATOMIC_POSITIONS crystal
I 0.5000 0.0000 0.0000
Te 0.0000 0.0000 0.5000
I 0.0000 0.5000 0.0000
K 0.0000 0.0000 0.0000
Be 0.5000 0.5000 0.5000
CELL_PARAMETERS angstrom
-1.5511 -4.5656 4.5303
1.8144 -4.7815 -4.1975
6.2600 0.2620 2.4075
```

Properties
Space-group type: P4/mmm, No. 123
DFT total energy, eV per atom: -1.456
Total magnetic moment, μB per formula unit: 3.06
Offset from the most stable computed form, kJ/mol of atoms: 109.8

---

[3]
An optimized crystal structure of Ta2Zn2Ni, computed with PBE-GGA. Values from VASP.

Cell and atoms, written as Quantum ESPRESSO input:
```
&SYSTEM
  ibrav = 0, nat = 10, ntyp = 3
/
ATOMIC_SPECIES
Ta 180.95 Ta.upf
Zn 65.41 Zn.upf
Ni 58.69 Ni.upf
ATOMIC_POSITIONS crystal
Ta 0.8299 0.3299 0.5000
Zn 0.3632 0.8632 0.0000
Zn 0.8632 0.6368 0.0000
Ni 0.5000 0.5000 0.0000
Ta 0.3299 0.1701 0.5000
Zn 0.1368 0.3632 0.0000
Ta 0.6701 0.8299 0.5000
Zn 0.6368 0.1368 0.0000
Ta 0.1701 0.6701 0.5000
Ni 0.0000 0.0000 0.0000
CELL_PARAMETERS angstrom
-2.8836 5.5067 0.2406
-4.1345 -1.9814 -4.2044
-2.3068 -1.3346 2.8975
```

Properties
Space-group type: P4/mbm, No. 127
Formation enthalpy at 0 K, eV per atom: 0.10
DFT total energy, eV per atom: -6.303
Total magnetic moment, μB per formula unit: 0.00

---

[4]
An optimized crystal structure of BiPIrS2, computed with PBE-GGA. Values from VASP.

Cell and atoms, written as Quantum ESPRESSO input:
```
&SYSTEM
  ibrav = 0, nat = 5, ntyp = 4
/
ATOMIC_SPECIES
P 30.97 P.upf
S 32.06 S.upf
Ir 192.22 Ir.upf
Bi 208.98 Bi.upf
ATOMIC_POSITIONS crystal
P 0.0000 0.0000 0.5000
S 0.5000 0.0000 0.0000
Ir 0.0000 0.0000 0.0000
Bi 0.5000 0.5000 0.5000
S 0.0000 0.5000 0.0000
CELL_PARAMETERS angstrom
-0.2622 -4.8058 1.0013
1.9580 -1.0219 -4.3919
4.0232 0.1471 1.7594
```

Properties
Space-group type: P4/mmm, No. 123
DFT total energy, eV per atom: -4.941
Total magnetic moment, μB per formula unit: 0.00
Offset from the most stable computed form, kJ/mol of atoms: 0.0